No. 1
Here is a relaxed structure of TmPuTlOs from the Alexandria database. Energies are from GGA-PBE.

Cell lengths 3.301, 3.301, 8.499 Å; angles 90.00, 90.00, 90.00 degrees
Last column: magnetic moment on the atom in μB.
Positions (direct):
Pu  0.500  0.500  0.368  5.01
Tl  0.000  0.000  0.068  -0.05
Os  0.000  0.000  0.574  -0.41
Tm  0.500  0.500  0.775  0.03

Properties
Formation energy from the elements in kJ per mole of atoms: -19
Space group: P4mm (99)
E_tot in eV per formula unit: -33.2

No. 2
Here is a relaxed structure of TmPuOs from the Alexandria database. Energies are from GGA-PBE.

Cell lengths 3.296, 3.296, 6.830 Å; angles 103.96, 103.96, 90.00 degrees
Last column: magnetic moment on the atom in μB.
Positions (direct):
Tm  0.033  0.033  0.066  0.21
Os  0.666  0.666  0.332  -0.31
Pu  0.301  0.301  0.602  5.15

Properties
Formation energy from the elements in kJ per mole of atoms: -8
Space group: I4mm (107)
E_tot in eV per formula unit: -30.3

No. 3
Here is a relaxed structure of TmPu2Os from the Alexandria database. Energies are from GGA-PBE.

Cell lengths 3.266, 3.266, 10.794 Å; angles 81.30, 81.30, 60.00 degrees
Last column: magnetic moment on the atom in μB.
Positions (direct):
Pu  0.900  0.900  0.299  5.33
Pu  0.100  0.100  0.701  5.33
Tm  0.000  0.000  0.000  0.11
Os  0.500  0.500  0.500  -0.56

Properties
Formation energy from the elements in kJ per mole of atoms: 38
Space group: R-3m (166)
E_tot in eV per formula unit: -42.8

No. 4
Here is a relaxed structure of TmPuOs2 from the Alexandria database. Energies are from GGA-PBE.

Cell lengths 3.366, 3.366, 6.792 Å; angles 90.00, 90.00, 90.00 degrees
Last column: magnetic moment on the atom in μB.
Positions (direct):
Os  0.000  0.000  0.761  -0.37
Os  0.000  0.000  0.239  -0.37
Tm  0.500  0.500  0.500  0.10
Pu  0.500  0.500  0.000  4.50

Properties
Formation energy from the elements in kJ per mole of atoms: -9
Space group: P4/mmm (123)
E_tot in eV per formula unit: -41.6

No. 5
Here is a relaxed structure of Tm2PuOs from the Alexandria database. Energies are from GGA-PBE.

Cell lengths 3.353, 3.353, 8.788 Å; angles 90.00, 90.00, 90.00 degrees
Last column: magnetic moment on the atom in μB.
Positions (direct):
Tm  0.000  0.000  0.187  0.16
Tm  0.000  0.000  0.813  0.16
Os  0.500  0.500  0.000  0.05
Pu  0.500  0.500  0.500  5.79

Properties
Formation energy from the elements in kJ per mole of atoms: -10
Space group: P4/mmm (123)
E_tot in eV per formula unit: -34.9

No. 6
Here is a relaxed structure of TmPuOs from the Alexandria database. Energies are from GGA-PBE.

Cell lengths 4.720, 4.720, 4.720 Å; angles 60.00, 60.00, 60.00 degrees
Last column: magnetic moment on the atom in μB.
Positions (direct):
Tm  0.500  0.500  0.500  0.10
Pu  0.000  0.000  0.000  5.07
Os  0.250  0.250  0.250  -0.40

Properties
Formation energy from the elements in kJ per mole of atoms: -3
Space group: F-43m (216)
E_tot in eV per formula unit: -30.1

Which of these has the highest E_tot?
number 6